P:
## Tb4Dy3Y5 (PBE)

Data for an optimized crystal structure of Tb4Dy3Y5.

Cell: 6.1646 7.1238 8.7134 Å, 90.02 90.07 90.11°
Last column: nearest neighbours and their distance in Å.
Space group P-1 (No. 2)
Inequivalent atoms, fractional coordinates:
Tb  0.1669  0.0001  0.1650 (multiplicity 2)  4 Tb 3.53-3.56, 3 Dy 3.55-3.56, 5 Y 3.56-3.57
Tb  0.3335  0.2494  0.8328 (multiplicity 2)  5 Y 3.55-3.57, 3 Tb 3.55-3.56, 4 Dy 3.56-3.57
Dy  0.3334  0.7503  0.8328 (multiplicity 2)  5 Y 3.55-3.57, 6 Tb 3.55-3.57, 1 Dy 3.56
Dy  0.5000  0.5000  0.5000 (multiplicity 1)  8 Y 3.55-3.56, 2 Dy 3.56, 2 Tb 3.56
Y  0.9998  0.2503  0.5000 (multiplicity 2)  3 Dy 3.55-3.56, 3 Tb 3.55-3.57, 6 Y 3.56-3.57
Y  0.1684  0.5002  0.1663 (multiplicity 2)  5 Tb 3.55-3.57, 4 Dy 3.55-3.57, 3 Y 3.56
Y  0.5000  0.0000  0.5000 (multiplicity 1)  4 Tb 3.55-3.57, 4 Dy 3.55-3.56, 4 Y 3.56-3.57

Q:
## Tb4Dy3Y5 (PBE)

Data for an optimized crystal structure of Tb4Dy3Y5.

Cell: 16.1039 5.8807 9.2639 Å, 90.00 116.40 90.00°
Last column: nearest neighbours and their distance in Å.
Space group C2/m (No. 12)
Inequivalent atoms, fractional coordinates:
Tb  0.0814  0.0000  0.4415 (multiplicity 4)  1 Tb 3.25, 1 Dy 3.41, 3 Y 3.43-3.55
Tb  0.2145  0.0000  0.8794 (multiplicity 4)  3 Dy 3.30-3.51, 3 Tb 3.56-3.65, 3 Y 3.62-3.65
Dy  0.0000  0.5000  0.0000 (multiplicity 2)  2 Y 2.94
Dy  0.2091  0.0000  0.2310 (multiplicity 4)  5 Y 3.08-3.44, 2 Tb 3.30-3.41
Y  0.0000  0.0000  0.0000 (multiplicity 2)  4 Dy 2.94-3.08
Y  0.0742  0.5000  0.7028 (multiplicity 4)  2 Dy 3.26-3.45, 1 Y 3.44, 2 Tb 3.62
Y  0.1728  0.5000  0.3863 (multiplicity 4)  4 Dy 3.19-3.44, 3 Tb 3.43-3.55

If we sort the structures by their calculated energies, the order from most to least stable is P, Q.

P:
## Tb6Dy8Y (PBE)

Data for an optimized crystal structure of Tb6Dy8Y.

Cell: 9.0375 9.0375 20.5968 Å, 90.00 90.00 120.00°
Last column: nearest neighbours and their distance in Å.
Space group R-3 (No. 148, hexagonal axes)
Inequivalent atoms, fractional coordinates:
Tb  0.0618  0.8147  0.2079 (multiplicity 18)  4 Dy 3.37-3.75, 1 Y 3.44, 4 Tb 3.49-3.74
Dy  0.0000  0.0000  0.0768 (multiplicity 6)  4 Dy 3.16-3.42, 3 Tb 3.37
Dy  0.0814  0.5292  0.3082 (multiplicity 18)  3 Tb 3.38-3.75, 5 Dy 3.41-3.42, 1 Y 3.52
Y  0.0000  0.0000  0.5000 (multiplicity 3)  6 Tb 3.44, 6 Dy 3.52

Q:
## Tb6Dy8Y (PBE)

Data for an optimized crystal structure of Tb6Dy8Y.

Cell: 9.3988 9.3988 6.5056 Å, 90.00 90.00 120.00°
Last column: nearest neighbours and their distance in Å.
Space group P-3 (No. 147)
Inequivalent atoms, fractional coordinates:
Tb  0.0916  0.4118  0.4056 (multiplicity 6)  1 Tb 3.17, 3 Dy 3.20-3.45
Dy  0.0218  0.6898  0.1012 (multiplicity 6)  3 Tb 3.20-3.45, 4 Dy 3.30-3.49
Dy  0.3333  0.6667  0.8382 (multiplicity 2)  6 Dy 3.37-3.49, 3 Tb 3.66
Y  0.0000  0.0000  0.5000 (multiplicity 1)  6 Tb 3.57, 6 Dy 3.98

If we sort the structures by their calculated energies, the order from most to least stable is P, Q.

P:
## TbDy2Y3 (PBE)

Data for an optimized crystal structure of TbDy2Y3.

Cell: 17.7478 3.5059 14.1852 Å, 90.00 117.49 90.00°
Last column: nearest neighbours and their distance in Å.
Space group C2/m (No. 12)
Inequivalent atoms, fractional coordinates:
Tb  0.0620  0.0000  0.1437 (multiplicity 4)  4 Dy 3.46-3.60, 3 Tb 3.51-3.63, 4 Y 3.65-3.70
Dy  0.1576  0.0000  0.9686 (multiplicity 4)  5 Y 3.41-3.68, 4 Dy 3.45-3.51, 2 Tb 3.46-3.60
Dy  0.1813  0.5000  0.3831 (multiplicity 4)  5 Y 3.39-3.49, 4 Dy 3.51-3.54, 2 Tb 3.53
Y  0.0386  0.5000  0.7138 (multiplicity 4)  3 Dy 3.49-3.68, 8 Y 3.51-3.75, 2 Tb 3.70
Y  0.0996  0.0000  0.5256 (multiplicity 4)  6 Y 3.27-3.60, 3 Dy 3.46-3.48
Y  0.2400  0.0000  0.7938 (multiplicity 4)  4 Dy 3.39-3.48, 5 Y 3.45-3.66, 2 Tb 3.65

Q:
## TbDy2Y3 (PBE)

Data for an optimized crystal structure of TbDy2Y3.

Cell: 17.4516 7.1207 6.1575 Å, 90.00 90.08 90.00°
Last column: nearest neighbours and their distance in Å.
Space group C2/c (No. 15)
Inequivalent atoms, fractional coordinates:
Tb  0.0000  0.1252  0.2500 (multiplicity 4)  8 Y 3.56, 2 Tb 3.56, 2 Dy 3.56
Dy  0.1667  0.3751  0.4171 (multiplicity 8)  8 Y 3.56, 3 Dy 3.56, 1 Tb 3.56
Y  0.0000  0.3750  0.7500 (multiplicity 4)  4 Tb 3.56, 4 Y 3.56, 4 Dy 3.56
Y  0.1668  0.1250  0.9169 (multiplicity 8)  4 Y 3.56, 6 Dy 3.56, 2 Tb 3.56

If we sort the structures by their calculated energies, the order from most to least stable is Q, P.

P:
## Tb2DyY5 (PBE)

Data for an optimized crystal structure of Tb2DyY5.

Cell: 6.1028 12.7240 7.0359 Å, 90.00 106.95 90.00°
Last column: nearest neighbours and their distance in Å.
Space group P2_1/m (No. 11)
Inequivalent atoms, fractional coordinates:
Tb  0.0407  0.1166  0.3858 (multiplicity 4)  2 Tb 3.39-3.48, 7 Y 3.47-3.63, 2 Dy 3.59-3.62
Dy  0.4167  0.7500  0.4810 (multiplicity 2)  8 Y 3.51-3.68, 4 Tb 3.59-3.62
Y  0.0369  0.1159  0.8836 (multiplicity 4)  7 Y 3.41-3.62, 3 Tb 3.47-3.53, 1 Dy 3.61
Y  0.4192  0.7500  0.9810 (multiplicity 2)  2 Dy 3.51-3.52, 8 Y 3.60-3.67, 2 Tb 3.63
Y  0.4976  0.5008  0.7490 (multiplicity 4)  3 Tb 3.47-3.55, 7 Y 3.48-3.67, 2 Dy 3.65-3.68

Q:
## Tb2DyY5 (PBE)

Data for an optimized crystal structure of Tb2DyY5.

Cell: 7.1333 14.2667 5.0326 Å, 90.00 90.00 90.00°
Last column: nearest neighbours and their distance in Å.
Space group Pbam (No. 55)
Inequivalent atoms, fractional coordinates:
Tb  0.2490  0.1246  0.0000 (multiplicity 4)  2 Dy 3.56, 10 Y 3.56-3.58
Dy  0.0000  0.0000  0.5000 (multiplicity 2)  4 Tb 3.56, 8 Y 3.56-3.57
Y  0.0000  0.5000  0.5000 (multiplicity 2)  6 Y 3.56-3.57, 4 Tb 3.56, 2 Dy 3.57
Y  0.0007  0.7505  0.5000 (multiplicity 4)  7 Y 3.56-3.57, 1 Dy 3.56, 4 Tb 3.56-3.57
Y  0.2500  0.3752  0.0000 (multiplicity 4)  4 Tb 3.56-3.58, 6 Y 3.56-3.57, 2 Dy 3.56

If we sort the structures by their calculated energies, the order from most to least stable is Q, P.

P:
## Tb2Dy5Y4 (PBE)

Data for an optimized crystal structure of Tb2Dy5Y4.

Cell: 3.5060 9.0278 23.2206 Å, 90.00 90.00 90.00°
Last column: nearest neighbours and their distance in Å.
Space group Immm (No. 71)
Inequivalent atoms, fractional coordinates:
Tb  0.0000  0.0000  0.2319 (multiplicity 4)  1 Y 3.10, 2 Dy 3.37
Dy  0.0000  0.1975  0.3549 (multiplicity 8)  1 Tb 3.37, 3 Y 3.42-3.52, 3 Dy 3.51-3.57
Dy  0.0000  0.5000  0.0000 (multiplicity 2)  4 Y 3.29, 2 Dy 3.51
Y  0.0000  0.0000  0.0981 (multiplicity 4)  1 Tb 3.10, 4 Y 3.35, 4 Dy 3.42
Y  0.0000  0.3085  0.5000 (multiplicity 4)  4 Dy 3.29-3.52, 7 Y 3.35-3.51

Q:
## Tb2Dy5Y4 (PBE)

Data for an optimized crystal structure of Tb2Dy5Y4.

Cell: 11.0661 7.3051 9.2654 Å, 90.00 107.58 90.00°
Last column: nearest neighbours and their distance in Å.
Space group C2/m (No. 12)
Inequivalent atoms, fractional coordinates:
Tb  0.1462  0.0000  0.1214 (multiplicity 4)  1 Tb 3.34, 6 Dy 3.43-3.65, 4 Y 3.45-3.66
Dy  0.0000  0.0000  0.5000 (multiplicity 2)  4 Dy 3.20, 2 Y 3.53
Dy  0.0670  0.2790  0.7789 (multiplicity 8)  2 Dy 3.20-3.23, 2 Tb 3.43-3.45, 5 Y 3.43-3.58
Y  0.1715  0.5000  0.1240 (multiplicity 4)  6 Dy 3.43-3.45, 2 Y 3.46-3.80, 3 Tb 3.47-3.66
Y  0.1813  0.5000  0.5006 (multiplicity 4)  1 Tb 3.45, 1 Y 3.46, 5 Dy 3.53-3.58

If we sort the structures by their calculated energies, the order from most to least stable is Q, P.

P:
## Tb7DyY12 (PBE)

Data for an optimized crystal structure of Tb7DyY12.

Cell: 12.8559 12.8559 13.6750 Å, 90.00 90.00 120.00°
Last column: nearest neighbours and their distance in Å.
Space group R-3 (No. 148, hexagonal axes)
Inequivalent atoms, fractional coordinates:
Tb  0.0000  0.0000  0.0000 (multiplicity 3)  6 Y 3.06
Tb  0.0686  0.8690  0.3452 (multiplicity 18)  2 Y 3.08-3.35, 1 Dy 3.09, 1 Tb 3.10
Dy  0.0000  0.0000  0.5000 (multiplicity 3)  6 Tb 3.09
Y  0.0026  0.5654  0.2481 (multiplicity 18)  3 Tb 3.35-3.57, 3 Y 3.38-3.57
Y  0.0681  0.2006  0.8503 (multiplicity 18)  2 Tb 3.06-3.08, 2 Y 3.10-3.38

Q:
## Tb7DyY12 (PBE)

Data for an optimized crystal structure of Tb7DyY12.

Cell: 18.5985 18.5985 6.7428 Å, 90.00 90.00 120.00°
Last column: nearest neighbours and their distance in Å.
Space group R-3 (No. 148, hexagonal axes)
Inequivalent atoms, fractional coordinates:
Tb  0.0000  0.0000  0.0000 (multiplicity 3)  2 Dy 3.37, 6 Tb 3.42
Tb  0.0090  0.8533  0.2866 (multiplicity 18)  1 Dy 3.16, 4 Y 3.17-3.52, 1 Tb 3.42
Dy  0.0000  0.0000  0.5000 (multiplicity 3)  8 Tb 3.16-3.37
Y  0.9998  0.2112  0.2077 (multiplicity 18)  4 Y 3.21-3.51, 3 Tb 3.41-3.59
Y  0.0077  0.4701  0.2371 (multiplicity 18)  2 Tb 3.17-3.31, 5 Y 3.21-3.51

If we sort the structures by their calculated energies, the order from most to least stable is P, Q.

P:
## Tb4DyY3 (PBE)

Data for an optimized crystal structure of Tb4DyY3.

Cell: 23.4725 3.4832 6.6954 Å, 90.00 106.50 90.00°
Last column: nearest neighbours and their distance in Å.
Space group C2/m (No. 12)
Inequivalent atoms, fractional coordinates:
Tb  0.1243  0.0000  0.3688 (multiplicity 4)  3 Y 3.26-3.43, 5 Tb 3.48-3.52
Tb  0.2397  0.5000  0.2421 (multiplicity 4)  9 Tb 3.48-3.83, 3 Y 3.51-3.52
Dy  0.0000  0.5000  0.0000 (multiplicity 2)  2 Dy 3.48, 4 Tb 3.68, 8 Y 3.68-3.77
Y  0.0000  0.0000  0.5000 (multiplicity 2)  2 Tb 3.28, 4 Y 3.30-3.48
Y  0.1249  0.0000  0.8822 (multiplicity 4)  5 Tb 3.26-3.52, 3 Y 3.30-3.48

Q:
## Tb4DyY3 (PBE)

Data for an optimized crystal structure of Tb4DyY3.

Cell: 11.3010 7.2934 6.3057 Å, 90.00 90.00 90.00°
Last column: nearest neighbours and their distance in Å.
Space group Pmn2_1 (No. 31)
Inequivalent atoms, fractional coordinates:
Tb  0.0000  0.1243  0.0003 (multiplicity 2)  6 Tb 3.52-3.64, 4 Y 3.52-3.66, 2 Dy 3.64-3.66
Tb  0.0000  0.8753  0.5000 (multiplicity 2)  6 Tb 3.51-3.64, 4 Y 3.53-3.65, 2 Dy 3.62-3.66
Tb  0.2495  0.8754  0.8312 (multiplicity 4)  6 Tb 3.51-3.64, 1 Dy 3.52, 5 Y 3.53-3.65
Dy  0.0000  0.6259  0.9972 (multiplicity 2)  6 Tb 3.52-3.66, 6 Y 3.52-3.65
Y  0.0000  0.3749  0.4970 (multiplicity 2)  4 Y 3.52-3.53, 6 Tb 3.53-3.66, 2 Dy 3.64-3.65
Y  0.2497  0.3747  0.8324 (multiplicity 4)  2 Dy 3.52-3.53, 4 Y 3.52-3.64, 6 Tb 3.52-3.65

If we sort the structures by their calculated energies, the order from most to least stable is Q, P.

P:
## Tb12Dy5Y2 (PBE)

Data for an optimized crystal structure of Tb12Dy5Y2.

Cell: 6.7023 8.8808 11.1282 Å, 108.45 90.98 100.88°
Last column: nearest neighbours and their distance in Å.
Space group P-1 (No. 2)
Inequivalent atoms, fractional coordinates:
Tb  0.0254  0.1225  0.4078 (multiplicity 2)  7 Tb 3.41-3.73, 4 Dy 3.66-3.78, 1 Y 3.79
Tb  0.0739  0.6576  0.7808 (multiplicity 2)  1 Y 3.21, 3 Dy 3.39-3.54, 5 Tb 3.42-3.57
Tb  0.1388  0.7452  0.2845 (multiplicity 2)  1 Y 3.17, 3 Dy 3.32-3.45, 4 Tb 3.40-3.52
Tb  0.3736  0.3522  0.6998 (multiplicity 2)  5 Tb 3.33-3.57, 4 Dy 3.42-3.48
Tb  0.3798  0.0891  0.8557 (multiplicity 2)  3 Tb 3.33-3.72, 3 Y 3.44-3.59, 1 Dy 3.64
Tb  0.4088  0.2538  0.2262 (multiplicity 2)  1 Y 3.28, 5 Tb 3.36-3.55, 2 Dy 3.53-3.60
Dy  0.2454  0.4788  0.0117 (multiplicity 2)  2 Dy 3.39-3.40, 6 Tb 3.39-3.78, 1 Y 3.62
Dy  0.2648  0.5549  0.4930 (multiplicity 2)  9 Tb 3.39-3.68, 2 Dy 3.49-3.52
Dy  0.5000  0.0000  0.5000 (multiplicity 1)  4 Tb 3.32-3.48
Y  0.1180  0.9031  0.0674 (multiplicity 2)  5 Tb 3.17-3.47, 1 Y 3.21

Q:
## Tb12Dy5Y2 (PBE)

Data for an optimized crystal structure of Tb12Dy5Y2.

Cell: 15.7908 9.1919 8.5550 Å, 90.00 91.08 90.00°
Last column: nearest neighbours and their distance in Å.
Space group C2/m (No. 12)
Inequivalent atoms, fractional coordinates:
Tb  0.0594  0.0000  0.3371 (multiplicity 4)  2 Dy 3.38-3.57, 7 Tb 3.39-3.46, 2 Y 3.43
Tb  0.0908  0.5000  0.8843 (multiplicity 4)  3 Dy 3.42-3.56, 5 Tb 3.44-3.62, 2 Y 3.45
Tb  0.1264  0.1930  0.6642 (multiplicity 8)  4 Dy 3.38-3.72, 5 Tb 3.43-3.55, 1 Y 3.53
Tb  0.1544  0.3183  0.2424 (multiplicity 8)  4 Tb 3.34-3.62, 1 Y 3.42, 4 Dy 3.48-3.71
Dy  0.0000  0.5000  0.5000 (multiplicity 2)  10 Tb 3.56-3.72, 2 Dy 3.70
Dy  0.1990  0.0000  0.0135 (multiplicity 4)  8 Tb 3.42-3.64, 2 Y 3.54, 1 Dy 3.69
Dy  0.2316  0.5000  0.5720 (multiplicity 4)  10 Tb 3.38-3.77, 2 Dy 3.69-3.70
Y  0.0000  0.1776  0.0000 (multiplicity 4)  1 Y 3.27, 8 Tb 3.42-3.53, 2 Dy 3.54

If we sort the structures by their calculated energies, the order from most to least stable is P, Q.

P:
## Tb2Dy9Y (PBE)

Data for an optimized crystal structure of Tb2Dy9Y.

Cell: 5.0198 5.0198 15.0569 Å, 90.00 90.00 90.00°
Last column: nearest neighbours and their distance in Å.
Space group P4/mmm (No. 123)
Inequivalent atoms, fractional coordinates:
Tb  0.0000  0.0000  0.1667 (multiplicity 2)  12 Dy 3.54-3.55
Dy  0.0000  0.5000  0.0000 (multiplicity 2)  8 Dy 3.55, 4 Tb 3.55
Dy  0.0000  0.5000  0.3329 (multiplicity 4)  2 Tb 3.54, 8 Dy 3.55, 2 Y 3.55
Dy  0.5000  0.5000  0.1666 (multiplicity 2)  8 Dy 3.55, 4 Tb 3.55
Dy  0.5000  0.5000  0.5000 (multiplicity 1)  4 Y 3.55, 8 Dy 3.55
Y  0.0000  0.0000  0.5000 (multiplicity 1)  12 Dy 3.55

Q:
## Tb2Dy9Y (PBE)

Data for an optimized crystal structure of Tb2Dy9Y.

Cell: 11.2080 11.2080 3.4944 Å, 90.00 90.00 120.00°
Last column: nearest neighbours and their distance in Å.
Space group P6/mmm (No. 191)
Inequivalent atoms, fractional coordinates:
Tb  0.3333  0.6667  0.0000 (multiplicity 2)  9 Dy 3.24-3.52, 2 Tb 3.49
Dy  0.0000  0.5000  0.0000 (multiplicity 3)  2 Tb 3.24, 10 Dy 3.49-3.60
Dy  0.1758  0.3516  0.5000 (multiplicity 6)  8 Dy 3.41-3.60, 2 Tb 3.52
Y  0.0000  0.0000  0.0000 (multiplicity 1)  2 Y 3.49, 12 Dy 3.83

If we sort the structures by their calculated energies, the order from most to least stable is P, Q.